Material: Ni2BiPb
Method: DFT, GGA-PBE
State: relaxed

The structure in POSCAR format:
```
Ni2BiPb
1.0
-6.090 -0.647 3.412
3.464 -1.621 5.875
-1.190 2.255 5.506
Ni Pb Bi
4 2 2
direct
0.121 0.625 0.250
0.875 0.879 0.750
0.629 0.125 0.250
0.375 0.371 0.750
0.500 0.500 0.000
0.250 0.750 0.500
0.000 0.000 0.000
0.750 0.250 0.500
```

E_form, eV per atom: 0.42
Density, g/cm3: 10.31
Magnetic moment, μB per atom: 0.0000
Calculated total energy, eV/atom: -4.366